Below is InAsN2F after structural relaxation, with properties calculated at the PBE level.

abc: 4.325 4.325 4.110
angles: 90.00 90.00 90.00
Fractional positions:
In  0.000  0.000  0.000
As  0.500  0.500  0.500
N  0.000  0.500  0.000
N  0.500  0.000  0.000
F  0.000  0.000  0.500

Its total magnetization is 0.9 μB/f.u. The space group is P4/mmm. For the density of states at the Fermi level, the calculation gives 2.1 states/eV/cell. The value obtained for the raw total energy is -21.64 eV/f.u. The value obtained for the offset from the most stable computed form is 44.7 kJ/mol of atoms. For the raw formation energy, the calculation gives 0.854 eV/atom.